## Li2MoO3 (SCAN)

Data for a PBEsol-optimized structure of Li2MoO3.

## Properties
Calculated density in Mg/m³: 4.91
Space-group type: No. 12
Energy above the lowest structure with this stoichiometry in meV/atom: 44.0
VASP energy in eV/atom: -11.92

Lattice parameters (Å, degrees): 4.924 4.924 5.210 99.38 99.38 117.15
Positions (direct):
O (0.418, 0.071, 0.776)
O (0.071, 0.418, 0.776)
O (0.929, 0.582, 0.224)
O (0.742, 0.742, 0.730)
O (0.582, 0.929, 0.224)
O (0.258, 0.258, 0.270)
Li (0.500, 0.500, 0.000)
Li (0.662, 0.338, 0.500)
Li (0.338, 0.662, 0.500)
Li (0.000, 0.000, 0.500)
Mo (0.143, 0.857, 0.000)
Mo (0.857, 0.143, 0.000)

## Li6Mo2O7 (SCAN)

Data for a PBEsol-optimized structure of Li6Mo2O7.

## Properties
Calculated density in Mg/m³: 4.22
Space-group type: No. 28
VASP energy in eV/atom: -10.64

Lattice parameters (Å, degrees): 5.852 5.719 8.132 90.00 90.00 90.00
Positions (direct):
O (0.520, 0.750, 0.483)
O (0.753, 0.496, 0.748)
O (0.520, 0.250, 0.517)
O (0.263, 0.985, 0.261)
O (0.263, 0.015, 0.739)
O (0.753, 0.996, 0.252)
O (0.263, 0.485, 0.739)
O (0.753, 0.504, 0.252)
O (0.462, 0.250, 0.022)
O (0.263, 0.515, 0.261)
O (0.462, 0.750, 0.978)
O (0.973, 0.750, 0.000)
O (0.973, 0.250, 0.000)
O (0.753, 0.004, 0.748)
Mo (0.502, 0.250, 0.761)
Mo (0.502, 0.750, 0.239)
Mo (0.720, 0.500, 0.000)
Mo (0.720, 0.000, 0.000)
Li (0.718, 0.000, 0.500)
Li (0.490, 0.250, 0.274)
Li (0.490, 0.750, 0.726)
Li (0.219, 0.500, 0.000)
Li (0.019, 0.750, 0.236)
Li (0.219, 0.000, 0.000)
Li (0.718, 0.500, 0.500)
Li (0.313, 0.000, 0.500)
Li (0.033, 0.250, 0.233)
Li (0.019, 0.250, 0.764)
Li (0.313, 0.500, 0.500)
Li (0.033, 0.750, 0.767)

## Li2MoO3 (SCAN)

Data for a PBEsol-optimized structure of Li2MoO3.

## Properties
Calculated density in Mg/m³: 4.99
Space-group type: No. 5
Energy above the lowest structure with this stoichiometry in meV/atom: 0.0
VASP energy in eV/atom: -11.96

Lattice parameters (Å, degrees): 5.827 5.827 12.850 79.02 79.02 89.84
Positions (direct):
Mo (0.159, 0.646, 0.161)
Mo (0.687, 0.174, 0.671)
Mo (0.162, 0.204, 0.161)
Mo (0.007, 0.494, 0.012)
Mo (0.346, 0.844, 0.346)
Mo (0.489, 0.987, 0.487)
Mo (0.129, 0.171, 0.672)
Mo (0.839, 0.326, 0.820)
Li (0.841, 0.841, 0.327)
Li (0.172, 0.669, 0.669)
Li (0.833, 0.801, 0.842)
Li (0.979, 0.001, 0.495)
Li (0.973, 0.521, 0.492)
Li (0.004, 0.994, 0.993)
Li (0.664, 0.161, 0.164)
Li (0.346, 0.808, 0.835)
Li (0.332, 0.354, 0.337)
Li (0.492, 0.492, 0.506)
Li (0.652, 0.675, 0.668)
Li (0.659, 0.681, 0.165)
Li (0.340, 0.329, 0.840)
Li (0.812, 0.360, 0.341)
Li (0.532, 0.500, 0.991)
Li (0.525, 0.987, 0.997)
O (0.605, 0.556, 0.830)
O (0.412, 0.935, 0.662)
O (0.398, 0.921, 0.171)
O (0.881, 0.419, 0.178)
O (0.104, 0.094, 0.322)
O (0.259, 0.248, 0.002)
O (0.085, 0.074, 0.830)
O (0.777, 0.728, 0.002)
O (0.410, 0.386, 0.672)
O (0.947, 0.923, 0.160)
O (0.729, 0.238, 0.508)
O (0.914, 0.452, 0.655)
O (0.261, 0.734, 0.001)
O (0.569, 0.615, 0.333)
O (0.077, 0.553, 0.842)
O (0.599, 0.072, 0.831)
O (0.718, 0.764, 0.500)
O (0.239, 0.229, 0.511)
O (0.911, 0.915, 0.669)
O (0.418, 0.422, 0.164)
O (0.095, 0.604, 0.325)
O (0.780, 0.256, 0.991)
O (0.231, 0.742, 0.502)
O (0.591, 0.102, 0.331)

## Li2MoO3 (SCAN)

Data for a PBEsol-optimized structure of Li2MoO3.

## Properties
Calculated density in Mg/m³: 4.93
Space-group type: No. 2
Energy above the lowest structure with this stoichiometry in meV/atom: 18.0
VASP energy in eV/atom: -11.94

Lattice parameters (Å, degrees): 5.747 8.300 10.385 64.08 74.42 90.12
Site moments in Bohr magnetons follow the coordinates.
Positions (direct):
O (0.154, 0.913, 0.185)  0.01
O (0.510, 0.239, 0.014)  0.00
O (0.490, 0.761, 0.986)  0.00
O (0.850, 0.574, 0.847)  -0.03
O (0.150, 0.426, 0.153)  -0.03
O (0.826, 0.081, 0.335)  0.02
O (0.498, 0.246, 0.501)  0.03
O (0.987, 0.247, 0.014)  0.03
O (0.674, 0.908, 0.147)  0.00
O (0.990, 0.241, 0.515)  0.05
O (0.326, 0.595, 0.337)  0.02
O (0.663, 0.918, 0.666)  0.02
O (0.010, 0.759, 0.485)  0.05
O (0.674, 0.405, 0.663)  0.02
O (0.326, 0.092, 0.853)  0.00
O (0.502, 0.754, 0.499)  0.03
O (0.671, 0.405, 0.160)  0.04
O (0.846, 0.087, 0.815)  0.01
O (0.337, 0.082, 0.334)  0.02
O (0.174, 0.919, 0.665)  0.02
O (0.169, 0.405, 0.661)  0.02
O (0.329, 0.595, 0.840)  0.04
O (0.831, 0.595, 0.339)  0.02
O (0.013, 0.753, 0.986)  0.03
Li (0.000, 0.000, 0.000)  0.00
Li (0.828, 0.825, 0.837)  0.00
Li (0.500, 0.000, 0.000)  0.00
Li (0.500, 0.500, 0.500)  0.00
Li (0.500, 0.500, 0.000)  0.00
Li (0.827, 0.334, 0.328)  0.00
Li (0.172, 0.175, 0.163)  0.00
Li (0.653, 0.662, 0.151)  0.00
Li (0.000, 0.000, 0.500)  0.00
Li (0.173, 0.666, 0.672)  0.00
Li (0.168, 0.672, 0.160)  0.00
Li (0.338, 0.342, 0.317)  0.00
Li (0.832, 0.328, 0.840)  0.00
Li (0.500, 0.000, 0.500)  0.00
Li (0.347, 0.338, 0.849)  0.00
Li (0.662, 0.658, 0.683)  0.00
Mo (0.000, 0.500, 0.500)  1.88
Mo (0.808, 0.847, 0.326)  0.12
Mo (0.000, 0.500, 0.000)  0.86
Mo (0.635, 0.154, 0.676)  0.17
Mo (0.192, 0.153, 0.674)  0.12
Mo (0.347, 0.857, 0.827)  0.04
Mo (0.365, 0.846, 0.324)  0.17
Mo (0.653, 0.143, 0.173)  0.04

## Li3MoP2O8 (SCAN)

Data for a PBEsol-optimized structure of Li3MoP2O8.

## Properties
Calculated density in Mg/m³: 3.65
Space-group type: No. 12
Energy above the lowest structure with this stoichiometry in meV/atom: 0.0
VASP energy in eV/atom: -10.48

Lattice parameters (Å, degrees): 4.975 4.975 6.130 89.94 89.94 66.87
Site moments in Bohr magnetons follow the coordinates.
Positions (direct):
O (0.742, 0.193, 0.238)  0.02
O (0.807, 0.258, 0.762)  0.02
O (0.249, 0.249, 0.978)  0.02
O (0.751, 0.751, 0.022)  0.02
O (0.193, 0.742, 0.238)  0.02
O (0.258, 0.258, 0.566)  0.00
O (0.258, 0.807, 0.762)  0.02
O (0.742, 0.742, 0.434)  0.00
Li (0.832, 0.832, 0.721)  0.00
Li (0.500, 0.500, 0.500)  0.00
Li (0.168, 0.168, 0.279)  0.00
P (0.150, 0.150, 0.764)  0.02
P (0.850, 0.850, 0.236)  0.02
Mo (0.500, 0.500, 0.000)  2.64

## LiMo4P4O22 (SCAN)

Data for a PBEsol-optimized structure of LiMo4P4O22.

## Properties
Calculated density in Mg/m³: 3.52
Space-group type: No. 2
VASP energy in eV/atom: -12.60

Lattice parameters (Å, degrees): 6.372 7.459 8.938 105.65 90.50 89.77
Site moments in Bohr magnetons follow the coordinates.
Positions (direct):
O (0.757, 0.965, 0.330)  -0.05
O (0.942, 0.360, 0.317)  0.00
O (0.229, 0.416, 0.810)  0.02
O (0.734, 0.637, 0.480)  0.00
O (0.058, 0.640, 0.683)  0.00
O (0.758, 0.026, 0.043)  -0.01
O (0.445, 0.638, 0.709)  0.00
O (0.266, 0.363, 0.520)  0.00
O (0.063, 0.790, 0.114)  0.00
O (0.225, 0.358, 0.092)  0.00
O (0.775, 0.642, 0.908)  0.00
O (0.549, 0.197, 0.888)  0.00
O (0.751, 0.906, 0.748)  0.00
O (0.243, 0.035, 0.670)  -0.05
O (0.555, 0.362, 0.291)  0.00
O (0.242, 0.974, 0.957)  -0.01
O (0.246, 0.623, 0.359)  0.00
O (0.249, 0.094, 0.252)  0.00
O (0.451, 0.803, 0.112)  0.00
O (0.771, 0.584, 0.190)  0.02
O (0.754, 0.377, 0.641)  0.00
O (0.937, 0.210, 0.886)  0.00
Mo (0.751, 0.610, 0.705)  0.00
Mo (0.250, 0.168, 0.851)  0.49
Mo (0.750, 0.832, 0.149)  0.49
Mo (0.249, 0.390, 0.295)  0.00
P (0.250, 0.924, 0.116)  0.01
P (0.249, 0.511, 0.674)  0.00
P (0.750, 0.076, 0.884)  0.01
P (0.751, 0.489, 0.326)  0.00
Li (0.000, 0.500, 0.000)  0.00

## LiMo2P3O12 (SCAN)

Data for a PBEsol-optimized structure of LiMo2P3O12.

## Properties
Calculated density in Mg/m³: 3.40
Space-group type: No. 2
Energy above the lowest structure with this stoichiometry in meV/atom: 4.4
VASP energy in eV/atom: -12.21

Lattice parameters (Å, degrees): 8.554 8.565 8.894 90.86 118.55 119.17
Site moments in Bohr magnetons follow the coordinates.
Positions (direct):
Mo (0.792, 0.643, 0.432)  1.72
Mo (0.205, 0.861, 0.072)  1.78
Mo (0.208, 0.357, 0.568)  1.72
Mo (0.795, 0.139, 0.928)  1.78
O (0.526, 0.547, 0.717)  0.05
O (0.116, 0.831, 0.591)  0.03
O (0.474, 0.453, 0.283)  0.05
O (0.350, 0.114, 0.253)  0.02
O (0.234, 0.173, 0.691)  0.01
O (0.094, 0.623, 0.904)  0.04
O (0.172, 0.542, 0.439)  0.00
O (0.506, 0.924, 0.221)  0.01
O (0.906, 0.377, 0.096)  0.04
O (0.767, 0.744, 0.613)  0.00
O (0.233, 0.256, 0.387)  0.00
O (0.766, 0.827, 0.309)  0.01
O (0.149, 0.734, 0.242)  0.01
O (0.088, 0.195, 0.056)  0.00
O (0.494, 0.076, 0.779)  0.01
O (0.170, 0.465, 0.737)  0.00
O (0.884, 0.169, 0.409)  0.03
O (0.830, 0.535, 0.263)  0.00
O (0.828, 0.458, 0.561)  0.00
O (0.274, 0.002, 0.915)  0.01
O (0.650, 0.886, 0.747)  0.02
O (0.912, 0.805, 0.944)  0.00
O (0.851, 0.266, 0.758)  0.01
O (0.726, 0.998, 0.085)  0.01
Li (0.648, 0.186, 0.407)  0.00
Li (0.352, 0.814, 0.593)  0.00
P (0.714, 0.743, 0.755)  0.02
P (0.286, 0.257, 0.245)  0.02
P (0.722, 0.976, 0.254)  0.01
P (0.991, 0.459, 0.745)  0.02
P (0.009, 0.541, 0.255)  0.02
P (0.278, 0.024, 0.746)  0.01

## LiMo2P3O12 (SCAN)

Data for a PBEsol-optimized structure of LiMo2P3O12.

## Properties
Calculated density in Mg/m³: 3.49
Space-group type: No. 9
Energy above the lowest structure with this stoichiometry in meV/atom: 3.0
VASP energy in eV/atom: -12.21

Lattice parameters (Å, degrees): 8.705 8.697 8.635 120.18 90.00 120.03
Site moments in Bohr magnetons follow the coordinates.
Positions (direct):
O (0.767, 0.827, 0.245)  0.00
O (0.993, 0.873, 0.073)  0.03
O (0.502, 0.306, 0.434)  0.02
O (0.087, 0.525, 0.266)  0.01
O (0.230, 0.173, 0.767)  0.01
O (0.376, 0.068, 0.074)  0.01
O (0.880, 0.873, 0.573)  0.03
O (0.999, 0.119, 0.933)  0.01
O (0.438, 0.525, 0.766)  0.01
O (0.189, 0.684, 0.073)  0.01
O (0.265, 0.675, 0.740)  0.02
O (0.586, 0.313, 0.761)  0.00
O (0.727, 0.313, 0.261)  0.00
O (0.119, 0.119, 0.433)  0.01
O (0.307, 0.922, 0.434)  0.02
O (0.060, 0.827, 0.745)  0.00
O (0.410, 0.675, 0.240)  0.02
O (0.943, 0.173, 0.267)  0.01
O (0.616, 0.922, 0.934)  0.02
O (0.555, 0.466, 0.243)  0.00
O (0.911, 0.466, 0.743)  0.00
O (0.495, 0.684, 0.573)  0.01
O (0.692, 0.068, 0.574)  0.01
O (0.804, 0.306, 0.934)  0.02
P (0.538, 0.286, 0.253)  0.02
P (0.457, 0.705, 0.753)  0.02
P (0.248, 0.705, 0.253)  0.02
P (0.958, 0.997, 0.254)  0.02
P (0.039, 0.997, 0.754)  0.02
P (0.748, 0.286, 0.753)  0.02
Li (0.028, 0.498, 0.502)  0.00
Li (0.470, 0.498, 0.002)  0.00
Mo (0.639, 0.775, 0.423)  1.76
Mo (0.359, 0.216, 0.584)  1.76
Mo (0.857, 0.216, 0.084)  1.76
Mo (0.136, 0.775, 0.923)  1.76

## LiMoPO5 (SCAN)

Data for a PBEsol-optimized structure of LiMoPO5.

## Properties
Calculated density in Mg/m³: 4.01
Space-group type: No. 62
Energy above the lowest structure with this stoichiometry in meV/atom: 14.7
VASP energy in eV/atom: -12.19

Lattice parameters (Å, degrees): 6.548 7.333 7.381 90.00 90.00 90.00
Site moments in Bohr magnetons follow the coordinates.
Positions (direct):
O (0.438, 0.368, 0.739)  0.03
O (0.938, 0.132, 0.239)  0.03
O (0.250, 0.394, 0.320)  -0.06
O (0.750, 0.454, 0.021)  0.05
O (0.750, 0.606, 0.680)  -0.06
O (0.250, 0.697, 0.513)  0.03
O (0.562, 0.132, 0.239)  0.03
O (0.250, 0.046, 0.521)  0.05
O (0.750, 0.303, 0.487)  0.03
O (0.938, 0.632, 0.261)  0.03
O (0.562, 0.632, 0.261)  0.03
O (0.250, 0.546, 0.979)  0.05
O (0.438, 0.868, 0.761)  0.03
O (0.750, 0.954, 0.479)  0.05
O (0.750, 0.106, 0.820)  -0.06
O (0.062, 0.368, 0.739)  0.03
O (0.750, 0.803, 0.013)  0.03
O (0.250, 0.894, 0.180)  -0.06
O (0.062, 0.868, 0.761)  0.03
O (0.250, 0.197, 0.987)  0.03
Mo (0.250, 0.641, 0.231)  1.79
Mo (0.750, 0.859, 0.731)  1.79
Mo (0.750, 0.359, 0.769)  1.79
Mo (0.250, 0.141, 0.269)  1.79
P (0.750, 0.630, 0.135)  0.02
P (0.250, 0.370, 0.865)  0.02
P (0.250, 0.870, 0.635)  0.02
P (0.750, 0.130, 0.365)  0.02
Li (0.000, 0.500, 0.500)  0.00
Li (0.000, 0.000, 0.000)  0.00
Li (0.500, 0.500, 0.500)  0.00
Li (0.500, 0.000, 0.000)  0.00